# Np2Ge2Os2C

Crystalline Np2Ge2Os2C at its relaxed geometry (GGA-PBE, Alexandria).

Calculated values
Magnetic moment (μB/cell): 7.7
Space-group type: No. 12
E_tot (Ry/atom): -0.7111
Energy of formation (eV per atom): -0.133

Cell: 5.9178 5.9178 6.7420 Å, 124.46 124.46 41.08°
With the nearest neighbours (Å) after each atom.
Fractional positions:
Np (0.0543, 0.0543, 0.2780)  2 C 2.61
Np (0.9457, 0.9457, 0.7220)  2 C 2.61
Ge (0.3448, 0.3448, 0.3196)  3 Os 2.49-2.52, 1 Ge 2.76
Ge (0.6552, 0.6552, 0.6804)  3 Os 2.49-2.52, 1 Ge 2.76
Os (0.2984, 0.2984, 0.9041)  1 C 1.91
Os (0.7016, 0.7016, 0.0959)  1 C 1.91
C (0.5000, 0.5000, 0.0000)  2 Os 1.91



# SrLaH8Pd2

Crystalline SrLaH8Pd2 at its relaxed geometry (GGA-PBE, Alexandria).

Calculated values
Magnetic moment (μB/cell): 0.0
Space-group type: No. 166
E_tot (Ry/atom): -0.2856

Cell: 7.1807 7.1807 7.1807 Å, 39.57 39.57 39.57°
With the nearest neighbours (Å) after each atom.
Fractional positions:
Sr (0.0000, 0.0000, 0.0000)  14 H 2.71-2.89
La (0.5000, 0.5000, 0.5000)  6 H 2.47
H (0.0909, 0.5440, 0.5440)  1 Pd 1.73
H (0.1459, 0.1459, 0.1459)  1 Pd 1.74
H (0.4560, 0.4560, 0.9091)  1 Pd 1.73
H (0.4560, 0.9091, 0.4560)  1 Pd 1.73
H (0.5440, 0.0909, 0.5440)  1 Pd 1.73
H (0.5440, 0.5440, 0.0909)  1 Pd 1.73
H (0.8541, 0.8541, 0.8541)  1 Pd 1.74
H (0.9091, 0.4560, 0.4560)  1 Pd 1.73
Pd (0.2337, 0.2337, 0.2337)  4 H 1.73-1.74
Pd (0.7663, 0.7663, 0.7663)  4 H 1.73-1.74



# TlZnCdAg

Crystalline TlZnCdAg at its relaxed geometry (GGA-PBE, Alexandria).

Calculated values
Magnetic moment (μB/cell): 0.0
Space-group type: No. 216
E_tot (Ry/atom): -0.1244
Energy above the lowest structure with this stoichiometry (meV/atom): 85.2
Energy of formation (eV per atom): 0.159

Cell: 4.9690 4.9690 4.9690 Å, 60.00 60.00 60.00°
With the nearest neighbours (Å) after each atom.
Fractional positions:
Tl (0.0000, 0.0000, 0.0000)  4 Zn 3.04, 4 Ag 3.04
Zn (0.7500, 0.7500, 0.7500)  4 Cd 3.04, 4 Tl 3.04
Cd (0.5000, 0.5000, 0.5000)  4 Zn 3.04, 4 Ag 3.04
Ag (0.2500, 0.2500, 0.2500)  4 Cd 3.04, 4 Tl 3.04



# Pm6TlGa

Crystalline Pm6TlGa at its relaxed geometry (GGA-PBE, Alexandria).

Calculated values
Magnetic moment (μB/cell): 0.0
Space-group type: No. 123
E_tot (Ry/atom): -0.3274
Energy of formation (eV per atom): -0.218

Cell: 4.8989 4.8989 9.7871 Å, 90.00 90.00 90.00°
With the nearest neighbours (Å) after each atom.
Fractional positions:
Pm (0.0000, 0.0000, 0.0000)  8 Pm 3.40, 4 Ga 3.46
Pm (0.0000, 0.0000, 0.5000)  4 Tl 3.46, 8 Pm 3.52
Pm (0.0000, 0.5000, 0.2411)  2 Ga 3.40, 8 Pm 3.40-3.52, 2 Tl 3.52
Pm (0.0000, 0.5000, 0.7589)  2 Ga 3.40, 8 Pm 3.40-3.52, 2 Tl 3.52
Pm (0.5000, 0.0000, 0.2411)  2 Ga 3.40, 8 Pm 3.40-3.52, 2 Tl 3.52
Pm (0.5000, 0.0000, 0.7589)  2 Ga 3.40, 8 Pm 3.40-3.52, 2 Tl 3.52
Tl (0.5000, 0.5000, 0.5000)  12 Pm 3.46-3.52
Ga (0.5000, 0.5000, 0.0000)  12 Pm 3.40-3.46



# Mg2RhCl

Crystalline Mg2RhCl at its relaxed geometry (GGA-PBE, Alexandria).

Calculated values
Magnetic moment (μB/cell): 0.0
Formation energy from raw total energies (eV per atom): -0.8092
Space-group type: No. 10
E_tot (Ry/atom): -0.2871
Energy above the lowest structure with this stoichiometry (meV/atom): 0.0

Cell: 3.2683 3.1630 7.2190 Å, 90.00 90.10 90.00°
With the nearest neighbours (Å) after each atom.
Fractional positions:
Mg (0.0007, 0.0000, 0.2072)  2 Cl 2.64, 4 Rh 2.72
Mg (0.9993, 0.0000, 0.7928)  2 Cl 2.64, 4 Rh 2.72
Rh (0.5000, 0.5000, 0.0000)  8 Mg 2.72
Cl (0.0000, 0.5000, 0.5000)  4 Mg 2.64



# PPt2Pb

Crystalline PPt2Pb at its relaxed geometry (GGA-PBE, Alexandria).

Calculated values
Magnetic moment (μB/cell): 0.0
Space-group type: No. 25
E_tot (Ry/atom): -0.4082
Energy above the lowest structure with this stoichiometry (meV/atom): 23.1
Energy of formation (eV per atom): -0.254

Cell: 3.9484 4.4283 5.3764 Å, 90.00 90.00 90.00°
With the nearest neighbours (Å) after each atom.
Fractional positions:
P (0.0000, 0.0000, 0.0000)  4 Pt 2.28-2.30
Pt (0.0000, 0.5000, 0.8874)  2 P 2.30
Pt (0.5000, 0.0000, 0.2106)  2 P 2.28
Pb (0.5000, 0.5000, 0.5270)  4 Pt 2.77-2.79



# SrScMnTl2

Crystalline SrScMnTl2 at its relaxed geometry (GGA-PBE, Alexandria).

Calculated values
Magnetic moment (μB/cell): 4.6
Space-group type: No. 123
E_tot (Ry/atom): -0.2354
Energy of formation (eV per atom): 1.180

Cell: 5.8644 5.8644 5.1792 Å, 90.00 90.00 90.00°
With the nearest neighbours (Å) after each atom.
Fractional positions:
Sr (0.0000, 0.0000, 0.0000)  2 Mn 2.59
Sc (0.5000, 0.5000, 0.5000)  8 Tl 3.91, 4 Mn 4.15
Mn (0.0000, 0.0000, 0.5000)  2 Sr 2.59
Tl (0.0000, 0.5000, 0.0000)  2 Sr 2.93
Tl (0.5000, 0.0000, 0.0000)  2 Sr 2.93



# CeGa4CuNi2

Crystalline CeGa4CuNi2 at its relaxed geometry (GGA-PBE, Alexandria).

Calculated values
Magnetic moment (μB/cell): 0.4
Space-group type: No. 166
E_tot (Ry/atom): -0.3368
Energy of formation (eV per atom): -0.370

Cell: 9.0240 9.0240 9.0240 Å, 26.51 26.51 26.51°
With the nearest neighbours (Å) after each atom.
Fractional positions:
Ce (0.0000, 0.0000, 0.0000)  8 Ga 3.00-3.34
Ga (0.1280, 0.1280, 0.1280)  4 Ni 2.48-2.69, 3 Cu 2.59
Ga (0.4029, 0.4029, 0.4029)  1 Cu 2.53, 3 Ni 2.54, 3 Ga 2.83
Ga (0.5971, 0.5971, 0.5971)  1 Cu 2.53, 3 Ni 2.54, 3 Ga 2.83
Ga (0.8720, 0.8720, 0.8720)  4 Ni 2.48-2.69, 3 Cu 2.59
Cu (0.5000, 0.5000, 0.5000)  8 Ga 2.53-2.59
Ni (0.2309, 0.2309, 0.2309)  7 Ga 2.48-2.69
Ni (0.7691, 0.7691, 0.7691)  7 Ga 2.48-2.69



# YCuRh2

Crystalline YCuRh2 at its relaxed geometry (GGA-PBE, Alexandria).

Calculated values
Magnetic moment (μB/cell): 0.0
Space-group type: No. 225
E_tot (Ry/atom): -0.4904
Energy above the lowest structure with this stoichiometry (meV/atom): 64.1
Energy of formation (eV per atom): -0.357

Cell: 4.5404 4.5404 4.5404 Å, 60.00 60.00 60.00°
With the nearest neighbours (Å) after each atom.
Fractional positions:
Y (0.0000, 0.0000, 0.0000)  8 Rh 2.78
Cu (0.5000, 0.5000, 0.5000)  8 Rh 2.78
Rh (0.2500, 0.2500, 0.2500)  4 Cu 2.78, 4 Y 2.78
Rh (0.7500, 0.7500, 0.7500)  4 Cu 2.78, 4 Y 2.78



# Sm3Pu

Crystalline Sm3Pu at its relaxed geometry (GGA-PBE, Alexandria).

Calculated values
Magnetic moment (μB/cell): 6.7
Space-group type: No. 139
E_tot (Ry/atom): -0.5138
Energy above the lowest structure with this stoichiometry (meV/atom): 23.6
Energy of formation (eV per atom): 0.132

Cell: 6.1959 6.1959 6.1959 Å, 132.23 132.23 69.87°
With the nearest neighbours (Å) after each atom.
Fractional positions:
Sm (0.0000, 0.0000, 0.0000)  4 Pu 3.55, 8 Sm 3.57
Sm (0.2500, 0.7500, 0.5000)  8 Sm 3.55-3.57, 4 Pu 3.57
Sm (0.7500, 0.2500, 0.5000)  8 Sm 3.55-3.57, 4 Pu 3.57
Pu (0.5000, 0.5000, 0.0000)  12 Sm 3.55-3.57



# FeTeOs2

Crystalline FeTeOs2 at its relaxed geometry (GGA-PBE, Alexandria).

Calculated values
Magnetic moment (μB/cell): 1.9
Formation energy from raw total energies (eV per atom): 0.6707
Space-group type: No. 8
E_tot (Ry/atom): -0.5766

Cell: 4.7416 4.7416 4.7424 Å, 96.19 96.19 36.57°
With the nearest neighbours (Å) after each atom.
Fractional positions:
Fe (0.0000, 0.0000, 0.0000)  1 Te 2.56, 5 Os 2.58-2.74
Te (0.7630, 0.7630, 0.2517)  1 Fe 2.56, 3 Os 2.71-2.73
Os (0.2654, 0.2654, 0.7705)  5 Os 2.67-2.98, 3 Fe 2.71-2.74, 4 Te 2.73-2.87
Os (0.5292, 0.5292, 0.5652)  2 Fe 2.58, 3 Os 2.67-2.69, 1 Te 2.71